Model a:
An optimized crystal structure of GaCuNi, computed with PBE.

**D(E_F)**: 1.64 states/eV/f.u.
**Crystal system**: orthorhombic

Lattice parameters (Å, degrees): 4.251 7.818 4.461 90.00 90.00 90.00
Element x y z (fractional)
Ga 0.500 0.000 0.403
Ga 0.500 0.500 0.903
Ga 0.000 0.000 0.019
Ga 0.000 0.500 0.519
Cu 0.500 0.830 0.884
Cu 0.500 0.170 0.884
Cu 0.500 0.330 0.384
Cu 0.500 0.670 0.384
Ni 0.000 0.835 0.528
Ni 0.000 0.165 0.528
Ni 0.000 0.335 0.028
Ni 0.000 0.665 0.028

---

Model b:
An optimized crystal structure of GaCuNi, computed with PBE.

**D(E_F)**: 1.76 states/eV/f.u.
**Crystal system**: monoclinic

Lattice parameters (Å, degrees): 5.124 3.766 7.834 90.00 102.21 90.00
Element x y z (fractional)
Ga 0.621 0.000 0.471
Ga 0.621 0.500 0.971
Ga 0.988 0.000 0.155
Ga 0.988 0.500 0.655
Cu 0.473 0.000 0.144
Cu 0.473 0.500 0.644
Cu 0.303 0.000 0.818
Cu 0.303 0.500 0.318
Ni 0.803 0.000 0.807
Ni 0.803 0.500 0.307
Ni 0.121 0.000 0.487
Ni 0.121 0.500 0.987

---

Model c:
An optimized crystal structure of GaCuNi, computed with PBE.

**D(E_F)**: 1.42 states/eV/f.u.
**Crystal system**: orthorhombic

Lattice parameters (Å, degrees): 4.035 4.897 4.898 96.53 65.67 65.67
Element x y z (fractional)
Ga 0.748 0.252 0.252
Ga 0.252 0.748 0.748
Cu 0.500 0.836 0.164
Cu 0.500 0.164 0.836
Ni 0.000 0.336 0.664
Ni 0.000 0.664 0.336

---

Model d:
An optimized crystal structure of GaCuNi, computed with PBE.

**D(E_F)**: 1.65 states/eV/f.u.
**Crystal system**: orthorhombic

Lattice parameters (Å, degrees): 4.822 4.822 8.502 109.53 109.53 79.70
Element x y z (fractional)
Ga 0.935 0.435 0.500
Ga 0.685 0.685 0.000
Ga 0.565 0.065 0.500
Ga 0.315 0.315 0.000
Cu 0.125 0.875 0.750
Cu 0.125 0.375 0.250
Cu 0.625 0.875 0.750
Cu 0.125 0.875 0.250
Ni 0.368 0.368 0.737
Ni 0.632 0.632 0.263
Ni 0.882 0.382 0.763
Ni 0.618 0.118 0.237

---

Preferred: model b; penalty for the next structure: 3.7 kJ/mol of atoms.